Crystalline Li2DyPaS4 at its relaxed geometry. Source: Alexandria, functional GGA-PBE.

Geometry as extended XYZ:
```
8
Lattice="-0.0347 -2.5514 2.8830 5.6150 -2.8634 -2.4665 1.6329 4.8073 4.2740" Properties=species:S:1:pos:R:3 pbc="T T T"
Li 3.6239 0.9720 0.9038
Li 0.7991 1.1280 3.5785
S 1.8245 -0.7788 1.9034
S 5.3887 0.1714 2.7872
S 2.5806 2.8613 2.5632
S 4.6672 -0.9174 -0.7557
Pa 2.7901 -2.7074 0.2083
Dy 0.0000 0.0000 0.0000
```

Values from the calculation:
total magnetization	1.8	μB/f.u.
total DFT energy (no corrections)	-47.48	eV/f.u.
E_form (uncorrected)	-1259	kJ/mol of formula units
SG	P2/m